1.
## Tb2TiAl (PBE-GGA)

Data for an optimized crystal structure of Tb2TiAl.

Computed properties:
- Space group: P4/mmm
- Energy above the lowest structure with this stoichiometry: 0.00 eV/f.u.
- Total magnetization: 0.00 μB/cell
- Formation energy from the elements: -0.066 eV per atom
- Fermi-level density of states: 4.26 states/eV/f.u.

a = 4.4483 Å, b = 4.5819 Å, c = 4.5819 Å
α = 90.00°, β = 90.00°, γ = 90.00°
With the nearest neighbours (Å) after each atom.
Sites, in units of the cell vectors:
Tb 0.0000 0.0000 0.5000  4 Al 3.19, 4 Ti 3.19, 4 Tb 3.24
Tb 0.0000 0.5000 0.0000  4 Al 3.19, 4 Ti 3.19, 4 Tb 3.24
Ti 0.5000 0.0000 0.0000  8 Tb 3.19, 4 Al 3.24
Al 0.5000 0.5000 0.5000  8 Tb 3.19, 4 Ti 3.24

***

2.
## PuNCl (PBE-GGA)

Data for an optimized crystal structure of PuNCl.

Computed properties:
- Space group: Amm2
- Total magnetization: 2.14 μB/cell
- Uncorrected formation energy: -1.01 eV per atom
- Fermi-level density of states: 10.38 states/eV/f.u.

a = 3.8313 Å, b = 3.8238 Å, c = 10.2655 Å
α = 90.00°, β = 90.00°, γ = 120.07°
With the nearest neighbours (Å) after each atom.
Sites, in units of the cell vectors:
N 0.2771 0.5541 0.0693  1 N 1.42
N 0.2771 0.5541 0.9307  1 N 1.42
Pu 0.6108 0.2216 0.0000  6 N 2.32
Pu 0.2780 0.5561 0.5000  6 Cl 2.83
Cl 0.6118 0.2236 0.6723  3 Pu 2.83
Cl 0.6118 0.2236 0.3277  3 Pu 2.83

***

3.
## La2Mg12Hg7 (PBE-GGA)

Data for an optimized crystal structure of La2Mg12Hg7.

Computed properties:
- Space group: P-3
- Total magnetization: 0.00 μB/cell
- Formation energy from the elements: -0.288 eV per atom
- Fermi-level density of states: 9.61 states/eV/f.u.

a = 4.3732 Å, b = 11.5425 Å, c = 11.5425 Å
α = 120.00°, β = 90.00°, γ = 90.00°
With the nearest neighbours (Å) after each atom.
Sites, in units of the cell vectors:
Mg 0.2503 0.9540 0.5687  4 Hg 2.86-2.89, 2 Mg 3.18
Mg 0.7497 0.3853 0.9540  4 Hg 2.86-2.89, 2 Mg 3.18
Mg 0.2468 0.1106 0.2649  4 Hg 2.88-2.96, 1 Mg 3.23
Mg 0.7497 0.0460 0.4313  4 Hg 2.86-2.89, 2 Mg 3.18
Mg 0.7532 0.8894 0.7351  4 Hg 2.88-2.96, 1 Mg 3.23
Mg 0.7532 0.8457 0.1106  4 Hg 2.88-2.96, 1 Mg 3.23
Mg 0.2468 0.7351 0.8457  4 Hg 2.88-2.96, 1 Mg 3.23
Mg 0.2503 0.6147 0.0460  4 Hg 2.86-2.89, 2 Mg 3.18
Mg 0.2503 0.4313 0.3853  4 Hg 2.86-2.89, 2 Mg 3.18
Mg 0.7532 0.2649 0.1543  4 Hg 2.88-2.96, 1 Mg 3.23
Mg 0.2468 0.1543 0.8894  4 Hg 2.88-2.96, 1 Mg 3.23
Mg 0.7497 0.5687 0.6147  4 Hg 2.86-2.89, 2 Mg 3.18
Hg 0.7505 0.1329 0.7110  7 Mg 2.86-2.96
Hg 0.2495 0.8671 0.2890  7 Mg 2.86-2.96
Hg 0.2495 0.4219 0.1329  7 Mg 2.86-2.96
Hg 0.7505 0.2890 0.4219  7 Mg 2.86-2.96
Hg 0.5000 0.0000 0.0000  6 Mg 2.88
Hg 0.2495 0.7110 0.5781  7 Mg 2.86-2.96
Hg 0.7505 0.5781 0.8671  7 Mg 2.86-2.96
La 0.2505 0.3333 0.6667  6 Hg 3.40, 6 Mg 3.76
La 0.7495 0.6667 0.3333  6 Hg 3.40, 6 Mg 3.76

***

4.
## PrHo2Tl (PBE-GGA)

Data for an optimized crystal structure of PrHo2Tl.

Computed properties:
- Space group: P4/mmm
- Energy above the lowest structure with this stoichiometry: 0.02 eV/f.u.
- Total magnetization: 0.00 μB/cell
- Formation energy from the elements: -0.173 eV per atom
- Fermi-level density of states: 3.99 states/eV/f.u.

a = 3.6531 Å, b = 3.6531 Å, c = 9.1583 Å
α = 90.00°, β = 90.00°, γ = 90.00°
With the nearest neighbours (Å) after each atom.
Sites, in units of the cell vectors:
Pr 0.5000 0.5000 0.5000  8 Ho 3.62, 4 Pr 3.65
Ho 0.0000 0.0000 0.2224  4 Tl 3.29, 4 Pr 3.62, 4 Ho 3.65
Ho 0.0000 0.0000 0.7776  4 Tl 3.29, 4 Pr 3.62, 4 Ho 3.65
Tl 0.5000 0.5000 0.0000  8 Ho 3.29, 4 Tl 3.65

***

5.
## Sr2HgBr (PBE-GGA)

Data for an optimized crystal structure of Sr2HgBr.

Computed properties:
- Space group: Fm-3m
- Energy above the lowest structure with this stoichiometry: 0.90 eV/f.u.
- Total magnetization: 1.04 μB/cell
- Uncorrected formation energy: -0.77 eV per atom
- Fermi-level density of states: 3.43 states/eV/f.u.

a = 5.7801 Å, b = 5.7801 Å, c = 5.7801 Å
α = 60.00°, β = 60.00°, γ = 60.00°
With the nearest neighbours (Å) after each atom.
Sites, in units of the cell vectors:
Hg 0.5000 0.5000 0.5000  8 Sr 3.54
Sr 0.7500 0.7500 0.7500  4 Br 3.54, 4 Hg 3.54
Sr 0.2500 0.2500 0.2500  4 Hg 3.54, 4 Br 3.54
Br 0.0000 0.0000 0.0000  8 Sr 3.54

***

6.
## AgPtO4 (PBE-GGA)

Data for an optimized crystal structure of AgPtO4.

Computed properties:
- Space group: P-1
- Total magnetization: 1.63 μB/cell
- Uncorrected formation energy: -0.12 eV per atom
- Fermi-level density of states: 3.86 states/eV/f.u.

a = 6.2813 Å, b = 7.2978 Å, c = 5.5459 Å
α = 114.44°, β = 106.52°, γ = 115.49°
With the nearest neighbours (Å) after each atom.
Sites, in units of the cell vectors:
O 0.3925 0.2917 0.9869  1 Pt 1.97, 2 Ag 2.06
O 0.9059 0.3050 0.0135  1 Pt 1.97, 2 Ag 2.06
O 0.8492 0.8509 0.7028  2 Pt 2.00-2.01
O 0.3531 0.8521 0.7028  2 Pt 2.00-2.01
O 0.6469 0.1479 0.2972  2 Pt 2.00-2.01
O 0.6075 0.7083 0.0131  1 Pt 1.97, 2 Ag 2.06
O 0.1508 0.1491 0.2972  2 Pt 2.00-2.01
O 0.0941 0.6950 0.9865  1 Pt 1.97, 2 Ag 2.06
Pt 0.7505 0.0005 0.0010  6 O 1.97-2.01
Pt 0.2495 0.9995 0.9990  6 O 1.97-2.01
Ag 0.2506 0.5006 0.0012  4 O 2.06
Ag 0.7494 0.4994 0.9988  4 O 2.06

***

7.
## ScBeSbTe2 (PBE-GGA)

Data for an optimized crystal structure of ScBeSbTe2.

Computed properties:
- Space group: P4/mmm
- Energy above the lowest structure with this stoichiometry: 1.96 eV/f.u.
- Total magnetization: 0.00 μB/cell
- Uncorrected formation energy: 0.52 eV per atom
- Fermi-level density of states: 7.42 states/eV/f.u.

a = 5.4919 Å, b = 5.4919 Å, c = 5.5328 Å
α = 90.00°, β = 90.00°, γ = 90.00°
With the nearest neighbours (Å) after each atom.
Sites, in units of the cell vectors:
Te 0.5000 0.0000 0.0000  2 Sc 2.75
Te 0.0000 0.5000 0.0000  2 Sc 2.75
Be 0.5000 0.5000 0.5000  4 Sb 3.88, 8 Te 3.90
Sc 0.0000 0.0000 0.0000  4 Te 2.75, 2 Sb 2.77
Sb 0.0000 0.0000 0.5000  2 Sc 2.77